Here is Th2Si3AgIr4 after structural relaxation from the Alexandria database. Energies are from PBE-GGA.

a b c (Å): 4.1374 4.1374 10.6430
angles (deg): 90.00 90.00 90.00
Element x y z (fractional)
Th1 0.0000 0.5000 0.2490
Th2 0.5000 0.0000 0.7510
Si1 0.0000 0.0000 0.0000
Si2 0.0000 0.5000 0.6212
Si3 0.5000 0.0000 0.3788
Ag1 0.5000 0.5000 0.0000
Ir1 0.0000 0.0000 0.5000
Ir2 0.0000 0.5000 0.8419
Ir3 0.5000 0.0000 0.1581
Ir4 0.5000 0.5000 0.5000

Results
- Total energy: -77.88 eV for the cell shown
- Mass density: 12.99 g/cm³
- ΔE_f (raw): -8.48 eV/f.u.